(1)
A relaxed structure of Nd2Sm9Y3. Source: the Alexandria database, functional GGA-PBE.

Output
**Formation energy**: 103 meV per atom
**Density**: 6635 kg/m³

abc: 5.722 12.719 12.719
angles: 73.70 47.57 47.57
Element x y z (fractional)
1 Sm 0.520 0.883 0.437
2 Y 0.097 0.801 0.801
3 Sm 0.987 0.441 0.235
4 Sm 0.987 0.235 0.441
5 Nd 0.500 0.180 0.820
6 Sm 0.480 0.117 0.563
7 Nd 0.500 0.820 0.180
8 Sm 0.480 0.563 0.117
9 Y 0.000 0.000 0.000
10 Sm 0.013 0.765 0.559
11 Y 0.903 0.199 0.199
12 Sm 0.520 0.437 0.883
13 Sm 0.013 0.559 0.765
14 Sm 0.000 0.500 0.500

***

(2)
A relaxed structure of Nd4SmY5. Source: the Alexandria database, functional GGA-PBE.

Output
**ΔE to the lowest computed polymorph**: 167 kJ/mol of formula units
**Formation energy**: 188 meV per atom
**Density**: 5561 kg/m³

abc: 3.569 11.247 8.899
angles: 90.02 101.58 90.02
Element x y z (fractional)
1 Nd 0.653 0.250 0.308
2 Y 0.826 0.445 0.652
3 Y 0.174 0.555 0.348
4 Nd 0.347 0.750 0.692
5 Sm 0.500 0.000 0.000
6 Y 0.826 0.057 0.651
7 Nd 0.969 0.250 0.940
8 Y 0.174 0.943 0.349
9 Y 0.500 0.500 0.000
10 Nd 0.031 0.750 0.060

***

(3)
A relaxed structure of NdSm12Y5. Source: the Alexandria database, functional GGA-PBE.

Output
**Formation energy**: 16 meV per atom
**Density**: 6607 kg/m³

abc: 15.327 10.838 5.115
angles: 90.00 90.00 45.06
Element x y z (fractional)
1 Sm 0.500 0.333 0.500
2 Sm 0.000 0.666 0.000
3 Y 0.667 0.667 0.000
4 Sm 0.500 0.667 0.500
5 Sm 0.334 0.000 0.000
6 Sm 0.666 0.334 0.000
7 Sm 0.000 0.334 0.000
8 Sm 0.833 0.000 0.500
9 Sm 0.167 0.000 0.500
10 Sm 0.334 0.666 0.000
11 Y 0.167 0.666 0.500
12 Sm 0.167 0.333 0.500
13 Sm 0.666 0.000 0.000
14 Y 0.833 0.334 0.500
15 Nd 0.000 0.000 0.000
16 Y 0.333 0.333 0.000
17 Y 0.500 0.000 0.500
18 Sm 0.833 0.667 0.500

***

(4)
A relaxed structure of Nd8SmY6. Source: the Alexandria database, functional GGA-PBE.

Output
**Formation energy**: 114 meV per atom
**Density**: 5936 kg/m³

abc: 9.199 9.199 8.798
angles: 58.48 58.48 60.00
Element x y z (fractional)
1 Sm 0.000 0.000 0.000
2 Y 0.462 0.904 0.883
3 Nd 0.284 0.887 0.581
4 Y 0.751 0.462 0.883
5 Y 0.096 0.249 0.117
6 Y 0.904 0.751 0.883
7 Nd 0.751 0.716 0.419
8 Nd 0.423 0.423 0.732
9 Nd 0.577 0.577 0.268
10 Nd 0.113 0.751 0.419
11 Y 0.538 0.096 0.117
12 Y 0.249 0.538 0.117
13 Nd 0.716 0.113 0.419
14 Nd 0.249 0.284 0.581
15 Nd 0.887 0.249 0.581

***

(5)
A relaxed structure of Nd4Sm3Y5. Source: the Alexandria database, functional GGA-PBE.

Output
**ΔE to the lowest computed polymorph**: 0 kJ/mol of formula units
**Formation energy**: 15 meV per atom
**Density**: 6067 kg/m³

abc: 7.240 8.867 9.585
angles: 90.10 40.93 90.07
Element x y z (fractional)
1 Nd 0.169 0.833 0.831
2 Nd 0.918 0.831 0.333
3 Sm 0.417 0.831 0.333
4 Y 0.252 0.500 0.000
5 Y 0.500 0.500 0.500
6 Sm 0.583 0.169 0.667
7 Y 0.667 0.832 0.833
8 Y 0.748 0.500 0.000
9 Nd 0.082 0.169 0.667
10 Y 0.333 0.168 0.167
11 Nd 0.831 0.167 0.169
12 Sm 0.000 0.500 0.500

***

(6)
A relaxed structure of Nd7SmY12. Source: the Alexandria database, functional GGA-PBE.

Output
**ΔE to the lowest computed polymorph**: 752 kJ/mol of formula units
**Formation energy**: 621 meV per atom
**Density**: 5037 kg/m³

abc: 9.843 9.843 9.843
angles: 109.47 109.47 109.47
Element x y z (fractional)
1 Y 0.000 0.751 0.249
2 Nd 0.000 0.500 0.000
3 Y 0.249 0.000 0.751
4 Y 0.000 0.249 0.751
5 Y 0.249 0.498 0.249
6 Y 0.751 0.000 0.249
7 Nd 0.500 0.000 0.000
8 Nd 0.500 0.500 0.500
9 Y 0.249 0.249 0.498
10 Nd 0.500 0.000 0.500
11 Y 0.502 0.751 0.751
12 Nd 0.000 0.000 0.500
13 Y 0.498 0.249 0.249
14 Y 0.751 0.751 0.502
15 Nd 0.000 0.500 0.500
16 Y 0.751 0.249 0.000
17 Nd 0.500 0.500 0.000
18 Sm 0.000 0.000 0.000
19 Y 0.249 0.751 0.000
20 Y 0.751 0.502 0.751